# ThMgZnCu PBE optimized geometry
# DFT formation energy	-0.1873	eV/atom
# volume	20.69	Å³ per atom
data_ThMgZnCu
_chemical_formula_sum 'Th4 Mg4 Zn4 Cu4'
_cell_length_a 6.918
_cell_length_b 6.918
_cell_length_c 6.918
_cell_angle_alpha 90.00
_cell_angle_beta 90.00
_cell_angle_gamma 90.00
_symmetry_space_group_name_H-M 'F -4 3 m'
_symmetry_Int_Tables_number 216
_symmetry_space_group_name_Hall 'F -4 2 3'
loop_
_atom_site_label
_atom_site_type_symbol
_atom_site_fract_x
_atom_site_fract_y
_atom_site_fract_z
_atom_site_occupancy
Th1 Th 0.000 0.000 0.000 1
Mg1 Mg 0.000 0.000 0.500 1
Zn1 Zn 0.250 0.250 0.250 1
Cu1 Cu 0.250 0.250 0.750 1